Entry 1:
The following is a DFT calculation (GGA-PBE) of a relaxed Ni3As2 crystal.

Calculated values
ΔE_f = -0.137 eV/atom
symmetry = Fdd2, No. 43
crystal system = orthorhombic

Structure (extended XYZ):
```
10
Lattice="0.000 5.533 5.489 2.222 0.000 5.489 2.222 5.533 0.000" Properties=species:S:1:pos:R:3 pbc="T T T"
Ni 0.748 2.766 2.744
Ni 4.080 5.533 5.489
As 1.741 6.374 2.231
Ni 2.884 7.680 9.502
As 2.852 7.457 4.976
Ni 2.884 8.917 6.965
As 1.741 4.691 8.746
Ni 1.773 4.914 4.220
As 2.852 3.608 6.002
Ni 1.773 6.151 6.757
```

Entry 2:
The following is a DFT calculation (GGA-PBE) of a relaxed Co5Re crystal.

Calculated values
ΔE_f = 0.052 eV/atom
symmetry = Amm2, No. 38
crystal system = orthorhombic

Structure (extended XYZ):
```
6
Lattice="2.565 0.000 0.000 1.283 6.596 0.000 0.000 0.000 4.066" Properties=species:S:1:pos:R:3 pbc="T T T"
Co 1.283 2.249 0.000
Re 2.565 1.454 2.033
Co 1.283 6.555 0.000
Co 2.565 5.809 2.033
Co 1.283 3.728 2.033
Co 2.565 4.391 0.000
```

Entry 3:
The following is a DFT calculation (GGA-PBE) of a relaxed CaTaMo2 crystal.

Calculated values
ΔE_f = 0.432 eV/atom
symmetry = P4/mmm, No. 123
crystal system = tetragonal

Structure (extended XYZ):
```
4
Lattice="-0.199 -3.352 -1.158 3.459 -0.442 0.684 -1.521 -2.099 6.338" Properties=species:S:1:pos:R:3 pbc="T T T"
Mo -0.644 -0.889 2.683
Mo -0.117 -0.161 0.486
Ca 0.489 -3.471 4.516
Ta 1.250 -2.422 1.347
```

Entry 4:
The following is a DFT calculation (GGA-PBE) of a relaxed Dy2Al15Ga2 crystal.

Calculated values
ΔE_f = -0.013 eV/atom
symmetry = R-3m, No. 166
crystal system = trigonal

Structure (extended XYZ):
```
19
Lattice="-4.071 3.812 4.558 -5.757 -4.221 -0.965 1.629 -4.204 5.618" Properties=species:S:1:pos:R:3 pbc="T T T"
Al -3.672 -4.216 0.893
Dy -1.037 -0.584 1.165
Al -5.960 -0.904 3.133
Al 0.021 -1.942 5.319
Ga -5.111 -2.876 5.743
Al -4.547 1.545 3.000
Al -2.036 1.906 2.279
Al 0.815 -2.102 2.809
Al -5.281 -1.954 0.594
Al -5.772 -3.717 2.930
Al -2.462 1.550 4.857
Dy -7.161 -4.029 8.046
Al -2.878 -2.111 -0.483
Ga -3.087 -1.737 3.468
Al -2.239 -3.709 6.078
Al -0.455 -4.209 3.760
Al -2.427 -0.896 6.282
Al -4.966 0.125 5.571
Al -3.233 -4.738 3.640
```

Question: Which formula does entry 1 have?
Answer: Ni3As2